Material: RbHoHgO3
Method: DFT, PBE
State: relaxed

extended XYZ file:
```
12
Lattice="-1.871 2.554 -1.660 -2.662 -6.936 -7.671 -4.212 0.747 5.895" Properties=species:S:1:pos:R:3 pbc="T T T"
Rb -2.605 -1.446 -1.213
Rb -6.140 -2.190 -2.223
Ho -2.969 -3.732 -4.320
Ho -5.776 0.096 0.884
Hg -3.422 1.150 3.702
Hg -5.323 -4.786 -7.138
O -4.077 -3.387 -6.390
O -4.668 -0.248 2.954
O -4.851 -4.408 -3.239
O -3.894 0.772 -0.196
O -3.507 -1.534 -4.181
O -5.238 -2.101 0.745
```

Space-group type   P2_1/m (11)

---

Material: VPbSe2
Method: DFT, PBE
State: relaxed

extended XYZ file:
```
4
Lattice="1.961 0.000 9.340 -0.981 1.698 9.340 -0.981 -1.698 9.340" Properties=species:S:1:pos:R:3 pbc="T T T"
Pb 0.000 0.000 0.000
Se 0.000 0.000 24.902
Se 0.000 0.000 3.117
V 0.000 0.000 14.010
```

Space-group type   R-3m (166)

---

Formation energy from raw total energies (eV per atom)
-1.96, -0.54
Mass density (g cm⁻³)
6.9, 7.4